Here is an optimized crystal structure of BaAgPb from Alexandria via LeMat-Bulk. Energies are from PBE.

Cell and atoms, written as extended XYZ:
```
3
Lattice="-0.991 2.409 4.904 -3.943 -2.028 3.343 1.411 -2.594 4.703" Properties=species:S:1:pos:R:3 pbc="T T T"
Pb 0.000 0.000 0.000
Ba -2.642 -1.660 9.713
Ag -1.762 -1.107 6.475
```

Computed properties:
The space group is No. 216. For the calculated total energy, the calculation gives -2.584 eV per atom.